Mn2ZnInO4: relaxed, GGA+U.

Values from the calculation:
E_tot ... -6.14 eV/atom
Space-group type ... No. 15
Density of states at the Fermi level ... 2.195 states/eV/cell

Cell: 6.4851 6.4851 6.4709 Å, 119.89 119.89 89.72°
Closest atoms and distances in Å follow each position.
Sites, in units of the cell vectors:
Mn1 0.5000 0.0000 0.5000  6 O 2.25
In1 0.0000 0.5000 0.5000  6 O 2.33-2.36
Mn2 0.0000 0.0000 0.5000  6 O 2.30-2.31
O1 0.2532 0.2445 0.0005  3 Mn 2.25-2.31, 2 Zn 2.29-2.30, 1 In 2.33
Mn3 0.5000 0.0000 0.0000  6 O 2.25
O2 0.7445 0.7532 0.5005  3 Mn 2.25-2.31, 2 Zn 2.29-2.30, 1 In 2.33
O3 0.7468 0.7555 0.9995  3 Mn 2.25-2.31, 2 Zn 2.29-2.30, 1 In 2.33
O4 0.2594 0.7639 0.0116  3 Mn 2.25-2.31, 1 Zn 2.27, 2 In 2.35-2.36
In2 0.0000 0.5000 0.0000  6 O 2.33-2.36
O5 0.7406 0.2361 0.9884  3 Mn 2.25-2.31, 1 Zn 2.27, 2 In 2.35-2.36
O6 0.2555 0.2468 0.4995  3 Mn 2.25-2.31, 2 Zn 2.29-2.30, 1 In 2.33
O7 0.7361 0.2406 0.4884  3 Mn 2.25-2.31, 1 Zn 2.27, 2 In 2.35-2.36
O8 0.2639 0.7594 0.5116  3 Mn 2.25-2.31, 1 Zn 2.27, 2 In 2.35-2.36
Zn1 0.0000 0.0000 0.0000  6 O 2.27-2.30
Mn4 0.5000 0.5000 0.0000  6 O 2.30-2.31
Zn2 0.5000 0.5000 0.5000  6 O 2.27-2.30